(1)
Material: Ca3Rh4
Method: DFT, PBE-GGA
State: optimized geometry

Calculated values
The calculation puts the total DFT energy (no corrections) at -32.68 eV/cell. The total magnetization is 0.0 μB per formula unit.

Cell: 6.0404 6.0404 4.6564 Å, 90.00 90.00 120.00°
Closest atoms and distances in Å follow each position.
Space group P6/mmm (No. 191)
Asymmetric unit:
Ca 0.0000 0.5000 0.0000 [3 per cell]  8 Rh 2.91-3.24, 4 Ca 3.02
Rh 0.0000 0.0000 0.2511 [2 per cell]  2 Rh 2.32-2.34
Rh 0.3333 0.6667 0.5000 [2 per cell]  6 Ca 2.91

=====

(2)
Material: Ca2FeTeC
Method: DFT, PBE-GGA
State: optimized geometry

Calculated values
The calculation puts the total DFT energy (no corrections) at -26.72 eV/cell. For the energy relative to the lowest polymorph listed for this composition, the calculation gives 0 meV per atom. The total magnetization is 1.7 μB per formula unit.

Cell: 5.2421 5.2421 3.7836 Å, 90.00 90.00 90.00°
Closest atoms and distances in Å follow each position.
Space group P4/mmm (No. 123)
Asymmetric unit:
Ca 0.0000 0.5000 0.0000 [2 per cell]  2 C 2.62
Fe 0.0000 0.0000 0.5000 [1 per cell]  2 C 1.89
Te 0.5000 0.5000 0.5000 [1 per cell]  8 Ca 3.23
C 0.0000 0.0000 0.0000 [1 per cell]  2 Fe 1.89

=====

(3)
Material: La2MgPb
Method: DFT, PBE-GGA
State: optimized geometry

Calculated values
The calculation puts the total DFT energy (no corrections) at -15.82 eV/cell. The total magnetization is 0.0 μB per formula unit.

Cell: 3.6442 3.6442 9.5974 Å, 90.00 90.00 90.00°
Closest atoms and distances in Å follow each position.
Space group P4mm (No. 99)
Asymmetric unit:
La 0.0000 0.0000 0.0000 [1 per cell]  4 Pb 3.53, 4 La 3.64
La 0.5000 0.5000 0.3142 [1 per cell]  4 Mg 3.48, 4 La 3.64
Mg 0.0000 0.0000 0.5586 [1 per cell]  4 Pb 3.15, 4 La 3.48
Pb 0.5000 0.5000 0.7483 [1 per cell]  4 Mg 3.15, 4 La 3.53

=====

(4)
Material: KNpW2N6
Method: DFT, PBE-GGA
State: optimized geometry

Calculated values
The calculation puts the total DFT energy (no corrections) at -378.37 eV/cell. The total magnetization is 2.0 μB per formula unit.

Cell: 11.1728 10.8219 6.4454 Å, 90.00 109.81 90.00°
Closest atoms and distances in Å follow each position.
Space group C2/c (No. 15)
Asymmetric unit:
K 0.0000 0.0916 0.2500 [4 per cell]  6 N 2.71-2.96
Np 0.0000 0.2855 0.7500 [4 per cell]  4 N 2.08-2.23
W 0.2037 0.4190 0.1631 [8 per cell]  4 N 1.82-1.95
N 0.0885 0.2901 0.0903 [8 per cell]  1 W 1.85
N 0.1344 0.1398 0.7198 [8 per cell]  1 W 1.82
N 0.1640 0.4645 0.8607 [8 per cell]  2 W 1.91-1.95

=====

(5)
Material: LaPm2SmTh
Method: DFT, PBE-GGA
State: optimized geometry

Calculated values
The calculation puts the total DFT energy (no corrections) at -50.26 eV/cell. The total magnetization is 0.0 μB per formula unit.

Cell: 8.6839 6.5354 6.4791 Å, 90.00 99.89 90.00°
Closest atoms and distances in Å follow each position.
Space group P2/c (No. 13)
Asymmetric unit:
La 0.0000 0.0000 0.0000 [2 per cell]  2 La 3.24, 2 Th 3.37, 2 Pm 3.50
Pm 0.3145 0.3208 0.1905 [4 per cell]  1 Pm 3.18, 1 Th 3.19, 1 La 3.50, 1 Sm 3.56
Sm 0.5000 0.1662 0.7500 [2 per cell]  8 Pm 3.56-3.84, 2 Sm 3.90
Th 0.0000 0.4521 0.7500 [2 per cell]  2 Pm 3.19, 2 Th 3.30, 2 La 3.37

=====

(6)
Material: HgRuPb2
Method: DFT, PBE-GGA
State: optimized geometry

Calculated values
The calculation puts the total DFT energy (no corrections) at -46.32 eV/cell. The total magnetization is 0.3 μB per formula unit.

Cell: 3.3037 3.3037 31.0010 Å, 90.00 90.00 120.00°
Closest atoms and distances in Å follow each position.
Space group R3m (No. 160, hexagonal axes)
Asymmetric unit:
Hg 0.0000 0.0000 0.0000 [3 per cell]  3 Ru 2.86
Ru 0.0000 0.0000 0.7354 [3 per cell]  3 Pb 2.80, 3 Hg 2.86
Pb 0.0000 0.0000 0.2433 [3 per cell]  6 Pb 3.30, 3 Hg 3.38
Pb 0.0000 0.0000 0.4681 [3 per cell]  3 Ru 2.80

=====

(7)
Material: SrNb2TeH
Method: DFT, PBE-GGA
State: optimized geometry

Calculated values
The calculation puts the total DFT energy (no corrections) at -27.47 eV/cell. The total magnetization is 0.0 μB per formula unit.

Cell: 4.2851 4.2851 5.1932 Å, 90.00 90.00 90.00°
Closest atoms and distances in Å follow each position.
Space group P4/mmm (No. 123)
Asymmetric unit:
Sr 0.0000 0.0000 0.0000 [1 per cell]  2 H 2.60
Nb 0.0000 0.5000 0.5000 [2 per cell]  2 H 2.14
Te 0.5000 0.5000 0.0000 [1 per cell]  4 Sr 3.03, 8 Nb 3.37
H 0.0000 0.0000 0.5000 [1 per cell]  4 Nb 2.14

=====

(8)
Material: OsBrCl6
Method: DFT, PBE-GGA
State: optimized geometry

Calculated values
The calculation puts the total DFT energy (no corrections) at -105.29 eV/cell. The total magnetization is 3.0 μB per formula unit.

Cell: 11.5872 9.3694 11.5119 Å, 90.00 107.48 90.00°
Closest atoms and distances in Å follow each position.
Space group C2/c (No. 15)
Asymmetric unit:
Os 0.2500 0.2500 0.0000 [4 per cell]  6 Cl 2.29-2.38
Br 0.0000 0.0295 0.7500 [4 per cell]  2 Cl 2.41
Cl 0.0646 0.3017 0.0229 [8 per cell]  1 Os 2.29
Cl 0.1803 0.0194 0.9224 [8 per cell]  1 Os 2.38, 1 Br 2.41
Cl 0.1886 0.3469 0.8086 [8 per cell]  1 Os 2.29

=====

(9)
Material: MnSnRh
Method: DFT, PBE-GGA
State: optimized geometry

Calculated values
The calculation puts the total DFT energy (no corrections) at -320.94 eV/cell. The total magnetization is 3.6 μB per formula unit.

Cell: 6.1200 10.5721 13.9059 Å, 90.00 90.00 90.00°
Closest atoms and distances in Å follow each position.
Space group Fddd (No. 70, origin choice 2)
Asymmetric unit:
Mn 0.0000 0.0000 0.0000 [16 per cell]  2 Rh 2.41
Sn 0.1250 0.1250 0.4364 [16 per cell]  4 Rh 2.79-2.92, 4 Mn 2.79-3.01
Rh 0.0831 0.3750 0.8750 [16 per cell]  2 Mn 2.41, 1 Rh 2.55

=====

(10)
Material: Cu3TcF
Method: DFT, PBE-GGA
State: optimized geometry

Calculated values
The calculation puts the total DFT energy (no corrections) at -18.14 eV/cell. For the energy relative to the lowest polymorph listed for this composition, the calculation gives 679 meV per atom. The total magnetization is 0.0 μB per formula unit.

Cell: 4.6449 4.6449 4.6449 Å, 90.00 90.00 90.00°
Closest atoms and distances in Å follow each position.
Space group Pm-3m (No. 221)
Asymmetric unit:
Cu 0.0000 0.0000 0.5000 [3 per cell]  2 Tc 2.32
Tc 0.0000 0.0000 0.0000 [1 per cell]  6 Cu 2.32
F 0.5000 0.5000 0.5000 [1 per cell]  12 Cu 3.28

=====

(11)
Material: K2SrSbPd
Method: DFT, PBE-GGA
State: optimized geometry

Calculated values
The calculation puts the total DFT energy (no corrections) at -13.55 eV/cell. The total magnetization is 1.0 μB per formula unit.

Cell: 5.8717 5.8717 5.8613 Å, 90.00 90.00 90.00°
Closest atoms and distances in Å follow each position.
Space group P4/mmm (No. 123)
Asymmetric unit:
K 0.0000 0.5000 0.0000 [2 per cell]  2 Pd 2.94
Sr 0.0000 0.0000 0.5000 [1 per cell]  2 Pd 2.93
Sb 0.5000 0.5000 0.5000 [1 per cell]  8 K 4.15, 4 Sr 4.15
Pd 0.0000 0.0000 0.0000 [1 per cell]  2 Sr 2.93, 4 K 2.94

=====

(12)
Material: LiCaOs2
Method: DFT, PBE-GGA
State: optimized geometry

Calculated values
The calculation puts the total DFT energy (no corrections) at -25.07 eV/cell. For the energy relative to the lowest polymorph listed for this composition, the calculation gives 12 meV per atom. The total magnetization is 0.0 μB per formula unit.

Cell: 3.0076 3.0076 7.6005 Å, 90.00 90.00 90.00°
Closest atoms and distances in Å follow each position.
Space group P4mm (No. 99)
Asymmetric unit:
Li 0.0000 0.0000 0.0000 [1 per cell]  4 Os 2.61
Ca 0.5000 0.5000 0.6839 [1 per cell]  4 Ca 3.01, 4 Os 3.05, 4 Li 3.21
Os 0.0000 0.0000 0.3971 [1 per cell]  4 Os 2.60
Os 0.5000 0.5000 0.1997 [1 per cell]  4 Os 2.60, 4 Li 2.61

=====

(13)
Material: Sc2TlZn
Method: DFT, PBE-GGA
State: optimized geometry

Calculated values
The calculation puts the total DFT energy (no corrections) at -70.05 eV/cell. The total magnetization is 0.0 μB per formula unit.

Cell: 6.9660 6.9660 6.9660 Å, 90.00 90.00 90.00°
Closest atoms and distances in Å follow each position.
Space group Fm-3m (No. 225)
Asymmetric unit:
Sc 0.2500 0.2500 0.2500 [8 per cell]  4 Tl 3.02, 4 Zn 3.02
Tl 0.0000 0.0000 0.0000 [4 per cell]  8 Sc 3.02
Zn 0.0000 0.0000 0.5000 [4 per cell]  8 Sc 3.02

=====

(14)
Material: ZnRuBr2
Method: DFT, PBE-GGA
State: optimized geometry

Calculated values
The calculation puts the total DFT energy (no corrections) at -48.09 eV/cell. For the energy relative to the lowest polymorph listed for this composition, the calculation gives 515 meV per atom. The total magnetization is 0.0 μB per formula unit.

Cell: 7.0207 7.0207 10.4481 Å, 90.00 90.00 90.00°
Closest atoms and distances in Å follow each position.
Space group I-42d (No. 122)
Asymmetric unit:
Zn 0.0000 0.0000 0.0000 [4 per cell]  4 Br 3.30
Ru 0.0000 0.0000 0.5000 [4 per cell]  4 Br 2.42
Br 0.1475 0.2500 0.6250 [8 per cell]  2 Ru 2.42

=====

(15)
Material: Er12Tm5Sc2
Method: DFT, PBE-GGA
State: optimized geometry

Calculated values
The calculation puts the total DFT energy (no corrections) at -88.37 eV/cell. For the energy relative to the lowest polymorph listed for this composition, the calculation gives 0 meV per atom. The total magnetization is 0.0 μB per formula unit.

Cell: 6.6073 8.3998 11.6001 Å, 108.11 99.85 103.99°
Closest atoms and distances in Å follow each position.
Space group P-1 (No. 2)
Asymmetric unit:
Er 0.0186 0.2867 0.3762 [2 per cell]  3 Tm 3.41-3.78, 7 Er 3.43-3.59, 2 Sc 3.52-3.60
Er 0.0404 0.1403 0.8430 [2 per cell]  4 Tm 3.26-3.48, 5 Er 3.29-3.58, 1 Sc 3.32
Er 0.1815 0.5695 0.2090 [2 per cell]  4 Tm 3.18-3.54, 4 Er 3.27-3.54, 1 Sc 3.55
Er 0.2502 0.8114 0.9320 [2 per cell]  4 Tm 3.33-3.62, 7 Er 3.43-3.71
Er 0.4399 0.6806 0.5296 [2 per cell]  6 Er 3.22-3.54, 2 Sc 3.27-3.31, 3 Tm 3.41-3.56
Er 0.4670 0.0568 0.7539 [2 per cell]  7 Er 3.27-3.58, 2 Sc 3.33-3.48, 2 Tm 3.38-3.67
Tm 0.2691 0.3988 0.6862 [2 per cell]  9 Er 3.41-3.79, 2 Tm 3.44-3.53, 2 Sc 3.51-3.71
Tm 0.2936 0.2093 0.1490 [2 per cell]  9 Er 3.18-3.56, 2 Tm 3.53-3.55
Tm 0.5000 0.5000 0.0000 [1 per cell]  4 Tm 3.44-3.55, 8 Er 3.45-3.85
Sc 0.2118 0.9586 0.4554 [2 per cell]  8 Er 3.27-3.60, 2 Sc 3.30-3.60, 1 Tm 3.51

=====

(16)
Material: Er6Tm3PuSc2
Method: DFT, PBE-GGA
State: optimized geometry

Calculated values
The calculation puts the total DFT energy (no corrections) at -134.20 eV/cell. The total magnetization is 6.7 μB per formula unit.

Cell: 5.9761 10.3466 11.3960 Å, 90.00 100.07 90.00°
Closest atoms and distances in Å follow each position.
Space group C2/m (No. 12)
Asymmetric unit:
Er 0.2471 0.1659 0.2443 [8 per cell]  1 Pu 3.38, 2 Sc 3.39, 6 Er 3.43-3.46, 3 Tm 3.49
Er 0.2494 0.5000 0.2443 [4 per cell]  1 Pu 3.38, 2 Sc 3.39, 6 Er 3.43-3.46, 3 Tm 3.49-3.50
Tm 0.0000 0.1676 0.5000 [4 per cell]  6 Tm 3.44-3.47, 6 Er 3.49
Tm 0.0000 0.5000 0.5000 [2 per cell]  6 Tm 3.44-3.45, 6 Er 3.49-3.50
Pu 0.0000 0.0000 0.0000 [2 per cell]  6 Er 3.38, 6 Sc 3.45
Sc 0.0000 0.3334 0.0000 [4 per cell]  6 Er 3.39, 3 Sc 3.45, 3 Pu 3.45

=====

(17)
Material: Dy4Th
Method: DFT, PBE-GGA
State: optimized geometry

Calculated values
The calculation puts the total DFT energy (no corrections) at -100.11 eV/cell. For the energy relative to the lowest polymorph listed for this composition, the calculation gives 0 meV per atom. The total magnetization is 0.0 μB per formula unit.

Cell: 6.9138 10.2862 9.5224 Å, 90.00 108.74 90.00°
Closest atoms and distances in Å follow each position.
Space group C2/m (No. 12)
Asymmetric unit:
Dy 0.0603 0.0000 0.3494 [4 per cell]  6 Dy 3.23-3.61, 2 Th 3.44
Dy 0.1609 0.2981 0.1848 [8 per cell]  8 Dy 3.36-3.61, 2 Th 3.40-3.53
Dy 0.2437 0.5000 0.9328 [4 per cell]  8 Dy 3.36-3.40
Th 0.0000 0.3229 0.5000 [4 per cell]  8 Dy 3.40-3.69, 3 Th 3.64-3.77

=====

(18)
Material: Ir6RuRh12
Method: DFT, PBE-GGA
State: optimized geometry

Calculated values
The calculation puts the total DFT energy (no corrections) at -441.39 eV/cell. The total magnetization is 0.0 μB per formula unit.

Cell: 9.2943 9.2943 11.3207 Å, 90.00 90.00 120.00°
Closest atoms and distances in Å follow each position.
Space group R-3 (No. 148, hexagonal axes)
Asymmetric unit:
Ir 0.0220 0.4376 0.1981 [18 per cell]  8 Rh 2.61-2.77, 1 Ru 2.62, 2 Ir 2.69
Ru 0.0000 0.0000 0.5000 [3 per cell]  6 Ir 2.62, 6 Rh 2.66
Rh 0.0316 0.1826 0.3104 [18 per cell]  1 Ru 2.66, 5 Rh 2.68-2.87, 4 Ir 2.71-2.77
Rh 0.0654 0.8486 0.9152 [18 per cell]  4 Ir 2.61-2.74, 5 Rh 2.63-2.87

=====

(19)
Material: IrSeSN2
Method: DFT, PBE-GGA
State: optimized geometry

Calculated values
The calculation puts the total DFT energy (no corrections) at -23.70 eV/cell. For the energy relative to the lowest polymorph listed for this composition, the calculation gives 989 meV per atom. The total magnetization is 0.0 μB per formula unit.

Cell: 3.5296 3.5296 7.8079 Å, 90.00 90.00 90.00°
Closest atoms and distances in Å follow each position.
Space group P4/mmm (No. 123)
Asymmetric unit:
Ir 0.0000 0.0000 0.0000 [1 per cell]  4 S 2.50
Se 0.5000 0.5000 0.5000 [1 per cell]  4 N 1.76
S 0.5000 0.5000 0.0000 [1 per cell]  4 Ir 2.50
N 0.0000 0.5000 0.5000 [2 per cell]  2 Se 1.76

=====

(20)
Material: Ru2RhN
Method: DFT, PBE-GGA
State: optimized geometry

Calculated values
The calculation puts the total DFT energy (no corrections) at -130.63 eV/cell. The total magnetization is 0.0 μB per formula unit.

Cell: 6.1930 6.1930 5.4541 Å, 90.00 90.00 90.00°
Closest atoms and distances in Å follow each position.
Space group I-42d (No. 122)
Asymmetric unit:
Ru 0.1494 0.7500 0.1250 [8 per cell]  2 N 1.93
Rh 0.0000 0.0000 0.5000 [4 per cell]  8 Ru 2.73-2.75, 2 N 2.73
N 0.0000 0.0000 0.0000 [4 per cell]  4 Ru 1.93

=====

D(E_F) values, unit states/eV/f.u., following the record order: 7.51; 3.24; 3.87; 6.81; 7.40; 2.33; 7.32; 0.49; 2.69; 4.94; 4.23; 2.27; 4.92; 1.96; 33.75; 22.61; 6.61; 29.38; 5.34; 2.65.